Compound: CsCaAs2O6
Source: Alexandria via LeMat-Bulk
Functional: PBE-GGA
Structure: relaxed

Lattice parameters (Å, degrees): 7.491 7.491 6.318 100.72 100.72 88.78
Sites, in units of the cell vectors:
O  0.167  0.146  0.039
O  0.394  0.928  0.752
O  0.320  0.441  0.383
O  0.833  0.854  0.961
O  0.441  0.320  0.883
O  0.606  0.072  0.248
O  0.559  0.680  0.117
O  0.928  0.394  0.252
O  0.072  0.606  0.748
O  0.854  0.833  0.461
O  0.680  0.559  0.617
O  0.146  0.167  0.539
As  0.293  0.135  0.805
As  0.135  0.293  0.305
As  0.865  0.707  0.695
As  0.707  0.865  0.195
Cs  0.799  0.201  0.750
Cs  0.201  0.799  0.250
Ca  0.606  0.394  0.250
Ca  0.394  0.606  0.750

Output
The formation energy without anion corrections comes out at -1.700 eV per atom.

=====

Compound: Y7Ho4Tm
Source: Alexandria via LeMat-Bulk
Functional: PBE-GGA
Structure: relaxed

Lattice parameters (Å, degrees): 5.986 9.135 9.974 75.36 90.67 49.11
Sites, in units of the cell vectors:
Ho  0.111  0.134  0.272
Ho  0.889  0.866  0.728
Ho  0.652  0.593  0.272
Ho  0.348  0.407  0.728
Y  0.291  0.461  0.079
Y  0.540  0.716  0.571
Y  0.460  0.284  0.429
Y  0.060  0.188  0.626
Y  0.709  0.539  0.921
Y  0.500  0.000  0.000
Y  0.940  0.812  0.374
Tm  0.000  0.000  0.000

Output
The formation energy is 3.3 kcal/mol of atoms.

=====

Compound: VCu2Ag
Source: Alexandria via LeMat-Bulk
Functional: PBE-GGA
Structure: relaxed

Lattice parameters (Å, degrees): 2.646 2.646 9.747 82.20 82.20 60.00
Sites, in units of the cell vectors:
V  0.000  0.000  0.000
Cu  0.084  0.084  0.748
Cu  0.916  0.916  0.252
Ag  0.500  0.500  0.500

Output
The value obtained for the energy relative to the lowest polymorph listed for this composition is 253 meV per atom. The formation energy is 9.7 kcal/mol of atoms.

=====

Compound: ThZrSc4
Source: Alexandria via LeMat-Bulk
Functional: PBE-GGA
Structure: relaxed

Lattice parameters (Å, degrees): 5.189 8.351 8.989 122.79 90.00 108.10
Sites, in units of the cell vectors:
Sc  0.002  0.004  0.841
Sc  0.625  0.250  0.128
Sc  0.375  0.750  0.872
Sc  0.998  0.996  0.159
Sc  0.501  0.002  0.674
Sc  0.754  0.507  0.917
Sc  0.499  0.998  0.326
Sc  0.246  0.493  0.083
Zr  0.755  0.509  0.584
Zr  0.245  0.491  0.416
Th  0.874  0.749  0.377
Th  0.126  0.251  0.623

Output
The value obtained for the energy relative to the lowest polymorph listed for this composition is 0 meV per atom. The formation energy is 0.8 kcal/mol of atoms.

=====

So what do the calculations give for spin magnetization? Going down the list: 0.00 0.00 0.00 0.00 μB/f.u..
So what do the calculations give for theoretical density? Going down the list: 4.06 6.22 8.13 5.49 g cm⁻³.